CsMoAu3S4 after structural relaxation. Source: OQMD via LeMat-Bulk, functional PBE-GGA.

Lattice parameters (Å, degrees): 6.3474 6.3474 6.3474 90.00 90.00 90.00
Closest atoms and distances in Å follow each position.
Positions (direct):
Cs  0.0000  0.0000  0.0000  4 S 3.20
Mo  0.5000  0.5000  0.5000  4 S 2.30
Au  0.0000  0.5000  0.5000  4 S 2.63
Au  0.5000  0.0000  0.5000  4 S 2.63
Au  0.5000  0.5000  0.0000  4 S 2.63
S  0.2909  0.2909  0.2909  1 Mo 2.30
S  0.2909  0.7091  0.7091  1 Mo 2.30
S  0.7091  0.2909  0.7091  1 Mo 2.30
S  0.7091  0.7091  0.2909  1 Mo 2.30

Output
Raw total energy: -4.43 eV per atom